The following is a DFT calculation (PBE) of a geometry-optimized ScZnTe2N structure.

Lattice parameters (Å, degrees): 5.751 5.751 3.910 90.00 90.00 90.00
Positions (direct):
Sc 0.000 0.000 0.000
Zn 0.500 0.500 0.500
Te 0.000 0.500 0.000
Te 0.500 0.000 0.000
N 0.000 0.000 0.500

Computed properties:
- energy relative to the elements, uncorrected (kJ per mole of atoms) = 21.14
- E above lowest polymorph (eV/atom) = 0.000


The following is a DFT calculation (PBE) of a geometry-optimized Cu2AgSb structure.

Lattice parameters (Å, degrees): 3.221 3.221 6.651 90.00 90.00 90.00
Positions (direct):
Cu 0.000 0.000 0.000
Cu 0.500 0.500 0.170
Ag 0.500 0.500 0.766
Sb 0.000 0.000 0.430

Computed properties:
- energy relative to the elements, uncorrected (kJ per mole of atoms) = 14.31


The following is a DFT calculation (PBE) of a geometry-optimized B2C structure.

Lattice parameters (Å, degrees): 7.763 7.763 4.592 106.94 106.94 18.90
Positions (direct):
B 0.000 0.000 0.000
B 0.153 0.153 0.429
B 0.313 0.313 0.874
B 0.427 0.427 0.064
B 0.503 0.503 0.454
B 0.747 0.747 0.003
B 0.816 0.816 0.463
B 0.923 0.923 0.424
C 0.105 0.105 0.049
C 0.263 0.263 0.499
C 0.610 0.610 0.572
C 0.640 0.640 0.932

Computed properties:
- ΔE_f (meV per atom) = 504
- E above lowest polymorph (eV/atom) = 0.318


The following is a DFT calculation (PBE) of a geometry-optimized Ti2Tl3NiS6 structure.

Lattice parameters (Å, degrees): 6.101 6.101 8.093 97.17 97.17 119.88
Positions (direct):
Ti 0.167 0.833 0.000
Ti 0.833 0.167 0.000
Tl 0.000 0.000 0.500
Tl 0.335 0.665 0.500
Tl 0.665 0.335 0.500
Ni 0.500 0.500 0.000
S 0.116 0.443 0.828
S 0.229 0.229 0.171
S 0.443 0.116 0.828
S 0.557 0.884 0.172
S 0.771 0.771 0.829
S 0.884 0.557 0.172

Computed properties:
- energy relative to the elements, uncorrected (kJ per mole of atoms) = -71.92


The following is a DFT calculation (PBE) of a geometry-optimized CaTcP2Os structure.

Lattice parameters (Å, degrees): 4.143 4.143 9.695 90.00 90.00 90.00
Positions (direct):
Ca 0.000 0.000 0.000
Ca 0.500 0.500 0.500
Tc 0.000 0.500 0.250
Tc 0.500 0.000 0.750
P 0.000 0.000 0.366
P 0.000 0.000 0.634
P 0.500 0.500 0.134
P 0.500 0.500 0.866
Os 0.000 0.500 0.750
Os 0.500 0.000 0.250

Computed properties:
- ΔE_f (meV per atom) = -713


The following is a DFT calculation (PBE) of a geometry-optimized AlSeIO2 structure.

Lattice parameters (Å, degrees): 4.027 4.027 5.988 90.00 90.00 90.00
Positions (direct):
Al 0.000 0.000 0.000
Se 0.500 0.500 0.500
I 0.500 0.500 0.000
O 0.000 0.500 0.500
O 0.500 0.000 0.500

Computed properties:
- energy relative to the elements, uncorrected (kJ per mole of atoms) = 13.83
- E above lowest polymorph (eV/atom) = 0.801


The following is a DFT calculation (PBE) of a geometry-optimized AgHg2Br structure.

Lattice parameters (Å, degrees): 5.748 9.775 3.938 90.00 90.00 90.00
Positions (direct):
Ag 0.000 0.000 0.000
Ag 0.500 0.500 0.000
Hg 0.000 0.220 0.500
Hg 0.000 0.780 0.500
Hg 0.500 0.280 0.500
Hg 0.500 0.720 0.500
Br 0.000 0.500 0.000
Br 0.500 0.000 0.000

Computed properties:
- energy relative to the elements, uncorrected (kJ per mole of atoms) = -11.32
- E above lowest polymorph (eV/atom) = 0.027


The following is a DFT calculation (PBE) of a geometry-optimized Nd2SmNi2 structure.

Lattice parameters (Å, degrees): 4.440 14.209 3.881 90.00 90.00 90.00
Positions (direct):
Nd 0.000 0.149 0.000
Nd 0.000 0.851 0.000
Nd 0.500 0.351 0.000
Nd 0.500 0.649 0.000
Sm 0.000 0.500 0.500
Sm 0.500 0.000 0.500
Ni 0.000 0.298 0.500
Ni 0.000 0.702 0.500
Ni 0.500 0.202 0.500
Ni 0.500 0.798 0.500

Computed properties:
- ΔE_f (meV per atom) = -240


Number 1: calculated density 4.87 g cm⁻³, DFT total energy -21.12 eV/cell. Number 2: calculated density 8.58 g cm⁻³, DFT total energy -14.57 eV/cell. Number 3: calculated density 2.61 g cm⁻³, DFT total energy -84.27 eV/cell. Number 4: calculated density 6.30 g cm⁻³, DFT total energy -62.38 eV/cell. Number 5: calculated density 7.79 g cm⁻³, DFT total energy -75.96 eV/cell. Number 6: calculated density 4.53 g cm⁻³, DFT total energy -17.98 eV/cell. Number 7: calculated density 8.84 g cm⁻³, DFT total energy -11.19 eV/cell. Number 8: calculated density 7.55 g cm⁻³, DFT total energy -54.03 eV/cell.